# SrHfAu2 (PBE-GGA, optimized geometry)
data_SrHfAu2
_cell_length_a 7.743
_cell_length_b 7.743
_cell_length_c 7.543
_cell_angle_alpha 90.00
_cell_angle_beta 90.00
_cell_angle_gamma 90.00
_symmetry_space_group_name_H-M 'I -4 2 d'
_symmetry_Int_Tables_number 122
_symmetry_space_group_name_Hall 'I -4 2bw'
loop_
_atom_site_label
_atom_site_type_symbol
_atom_site_fract_x
_atom_site_fract_y
_atom_site_fract_z
Sr1 Sr 0.000 0.000 0.000
Hf1 Hf 0.000 0.000 0.500
Au1 Au 0.201 0.750 0.625
# **ΔE_f**: -0.157 eV per atom
# **Volume**: 452.2 Å³/cell